Material: Mn4Zn5
Method: DFT, PBE
State: relaxed

Cell: 7.421 7.421 5.125 Å, 90.00 90.00 60.00°
Last column: magnetic moment on the atom in μB.
Fractional positions:
Zn (0.673, 0.327, 0.750)  -0.05
Zn (0.673, 0.000, 0.250)  -0.05
Zn (0.327, 0.673, 0.250)  -0.05
Zn (0.667, 0.667, 0.000)  -0.06
Zn (0.667, 0.667, 0.500)  -0.06
Zn (0.000, 0.327, 0.250)  -0.05
Zn (0.000, 0.673, 0.750)  -0.05
Zn (0.327, 0.000, 0.750)  -0.05
Zn (0.333, 0.333, 0.000)  -0.06
Zn (0.333, 0.333, 0.500)  -0.06
Mn (0.331, 0.000, 0.250)  3.14
Mn (0.669, 0.331, 0.250)  3.14
Mn (0.000, 0.000, 0.000)  1.12
Mn (0.000, 0.331, 0.750)  3.14
Mn (0.000, 0.000, 0.500)  1.12
Mn (0.331, 0.669, 0.750)  3.14
Mn (0.000, 0.669, 0.250)  3.14
Mn (0.669, 0.000, 0.750)  3.14

## Properties
calculated density	7.4	g cm⁻³
crystal system	hexagonal
space group	P6_3/mcm
density of states at the Fermi level	0.5032	states/eV per atom
VASP energy	-4.660	eV/atom